NpSiP after structural relaxation. Source: Alexandria via LeMat-Bulk, functional PBE-GGA.

Values from the calculation:
The uncorrected energy comes out at -48.7 eV per cell. For the total magnetization, the calculation gives 0.0000 μB per atom. The space group is C2/m. The energy relative to the elements, uncorrected is -0.184 eV/atom.

Structure (POSCAR):
```
NpSiP
1.0
4.439 0.000 0.000
2.220 4.995 0.589
2.220 0.942 4.539
Np Si P
2 2 2
direct
0.144 0.311 0.400
0.856 0.689 0.600
0.863 0.192 0.081
0.137 0.808 0.919
0.486 0.231 0.798
0.514 0.769 0.202
```